Record 1
4
Lattice="-8.850 0.848 -1.159 -8.249 -0.472 -3.479 -8.686 -1.884 -1.176" Properties=species:S:1:pos:R:3 comment="PBE-GGA CuOs2Pt, relaxed" space_group=R3m dos_at_fermi_per_ev_atom=1.133 formation_enthalpy_0k_ev_per_atom=0.088 pbc="T T T"
Os -25.774 -1.507 -5.812
Os -6.539 -0.382 -1.474
Pt -12.835 -0.751 -2.894
Cu -19.314 -1.129 -4.355

***

Record 2
16
Lattice="-6.293 4.336 5.101 -4.616 -7.835 0.964 8.870 0.418 2.313" Properties=species:S:1:pos:R:3 comment="PBE-GGA Ac3Nd4SmTe8, relaxed" space_group=C2/m dos_at_fermi_per_ev_atom=0.750 raw_formation_energy_ev_per_atom=-1.431 pbc="T T T"
Ac -1.020 -1.541 4.189
Ac 2.127 -3.709 1.638
Ac -5.455 -1.749 3.033
Te -8.205 -2.633 4.636
Te -0.656 -4.654 3.146
Te 2.937 1.776 6.359
Te -4.977 -4.857 2.019
Te 1.720 -0.576 2.611
Te -1.383 1.573 5.232
Te -3.759 -2.506 5.767
Te 6.165 -0.448 3.742
Sm -2.308 -3.917 0.482
Nd 4.435 0.209 1.156
Nd 1.288 2.377 3.707
Nd -3.147 2.168 2.551
Nd 0.000 0.000 0.000

***

Record 3
4
Lattice="-0.134 -2.161 -2.545 0.178 -2.548 2.154 -7.994 -0.117 0.521" Properties=species:S:1:pos:R:3 comment="PBE-GGA Cd2CuPb, relaxed" space_group=P4mm dos_at_fermi_per_ev_atom=0.543 formation_enthalpy_0k_ev_per_atom=0.127 pbc="T T T"
Cd -0.234 -0.003 0.015
Cd -2.270 -2.388 -0.046
Pb -5.655 -2.438 0.174
Cu -3.788 -0.056 0.247

***

Record 4
11
Lattice="-3.369 -1.944 2.579 -4.466 -1.164 -3.905 0.597 -5.949 -0.898" Properties=species:S:1:pos:R:3 comment="PBE-GGA Hg2GeF8, relaxed" space_group=C2/m dos_at_fermi_per_ev_atom=0.000 raw_formation_energy_ev_per_atom=-1.870 pbc="T T T"
F -4.285 -4.469 0.105
F -3.949 -1.564 -2.176
F -3.289 -7.492 -0.047
F -1.259 -1.300 0.051
F -5.979 -7.756 -2.274
F -6.640 -4.326 -2.038
F -0.598 -4.731 -0.185
F -2.953 -4.588 -2.328
Hg -2.513 -3.102 -0.704
Hg -4.725 -5.955 -1.519
Ge 0.000 0.000 0.000

***

Record 5
17
Lattice="-4.400 1.581 -2.889 2.075 -5.163 -5.985 -4.879 -2.513 6.055" Properties=species:S:1:pos:R:3 comment="PBE-GGA Ag6GeAu10, relaxed" space_group=P-31m dos_at_fermi_per_ev_atom=0.249 formation_enthalpy_0k_ev_per_atom=0.053 pbc="T T T"
Ge -2.200 0.791 -1.445
Ag -1.897 -2.021 -5.743
Ag -0.427 -1.560 -3.132
Ag -6.153 -0.400 1.626
Ag -3.126 -0.532 1.540
Ag -4.255 -1.840 -2.053
Ag -2.949 -4.254 -0.767
Au -2.975 -0.076 -3.859
Au -2.443 -3.489 -3.416
Au -5.590 -4.423 -2.255
Au -4.500 -1.543 3.903
Au 0.651 -3.505 -5.015
Au -1.613 -1.672 -0.564
Au -2.561 -3.396 2.042
Au -0.243 -4.279 -1.972
Au -4.778 0.611 -0.737
Au -4.761 -2.606 0.597

***

Record 6
14
Lattice="-1.790 -6.362 2.078 4.449 -6.558 -4.696 5.692 -3.263 6.465" Properties=species:S:1:pos:R:3 comment="PBE-GGA La2Nd4Ho, relaxed" space_group=Imma dos_at_fermi_per_ev_atom=1.502 formation_enthalpy_0k_ev_per_atom=0.205 pbc="T T T"
Nd 3.356 -4.445 0.831
Nd -0.098 -6.885 1.936
Nd 4.468 -7.185 -1.445
Nd 4.995 -11.737 3.016
Nd 8.449 -9.298 1.911
Nd 3.477 -10.707 -0.294
Nd 3.883 -8.997 5.292
Nd 4.874 -5.475 4.141
Ho 2.225 -3.279 -2.348
Ho 1.329 -6.460 -1.309
La 6.510 -9.682 -0.935
La 1.842 -6.501 4.782
La -0.895 -3.181 1.039
La 4.176 -8.091 1.924

***

Record 7
12
Lattice="4.520 0.000 0.000 0.000 6.898 0.000 0.000 0.000 9.566" Properties=species:S:1:pos:R:3 comment="PBE-GGA RbCuAg2S2, relaxed" space_group=Pnnm raw_formation_energy_ev_per_atom=-0.413 pbc="T T T"
Cu 0.000 0.000 0.000
Cu 2.260 3.449 4.783
Ag 0.000 3.656 3.127
Ag 0.000 3.242 6.439
Ag 2.260 0.207 1.656
Ag 2.260 6.691 7.910
S 2.260 2.095 6.469
S 0.000 5.544 7.880
S 0.000 1.354 1.686
S 2.260 4.803 3.097
Rb 2.260 3.449 0.000
Rb 0.000 0.000 4.783

***

Record 8
11
Lattice="5.325 0.000 0.000 2.663 4.801 -0.281 2.663 0.917 6.354" Properties=species:S:1:pos:R:3 comment="PBE-GGA Ni4Pd2Pt5, relaxed" space_group=C2/m dos_at_fermi_per_ev_atom=1.292 formation_enthalpy_0k_ev_per_atom=0.077 pbc="T T T"
Pt 3.983 4.102 0.982
Pt 6.667 1.617 5.091
Pt 2.663 2.859 3.037
Pt 3.983 1.617 5.091
Pt 6.667 4.102 0.982
Ni 2.663 1.570 0.865
Ni 5.325 5.177 2.839
Ni 5.325 0.541 3.234
Ni 7.988 4.149 5.208
Pd 5.325 3.973 5.041
Pd 5.325 1.745 1.033

***

It is found that the total magnetic moment values, taken in the order of the records, are 0.000 0.000 0.000 0.000 0.000 0.000 0.000 0.467 μB per atom.
It is found that the total energy values, taken in the order of the records, are -8.061 -5.259 -2.282 -3.705 -3.153 -4.581 -3.583 -5.715 eV/atom.